1.
Material: ZrCrTeN2
Method: DFT, GGA-PBEsol
State: relaxed

Lattice parameters (Å, degrees): 4.079 4.079 5.958 90.00 90.00 90.00
Atoms (fractional coordinates):
Cr 0.500 0.500 0.500
Te 0.000 0.000 0.500
Zr 0.000 0.000 0.000
N 0.000 0.500 0.000
N 0.500 0.000 0.000

Properties
The value obtained for the distance to the lowest polymorph of the same formula is 0.155 eV/atom. The total energy is -7.4800 eV/atom. The formation energy without anion corrections is 2.51 eV per formula unit. Its space-group type is P4/mmm.

2.
Material: TiCrN2
Method: DFT, GGA-PBEsol
State: relaxed

Lattice parameters (Å, degrees): 4.426 4.426 5.467 113.88 113.88 90.00
Atoms (fractional coordinates):
Cr 0.250 0.750 0.500
Cr 0.000 0.000 0.000
N 0.890 0.375 0.250
N 0.360 0.875 0.250
N 0.625 0.640 0.750
N 0.125 0.110 0.750
Ti 0.750 0.250 0.500
Ti 0.500 0.500 0.000

Properties
The total energy is -9.9374 eV/atom. The formation energy without anion corrections is -4.13 eV per formula unit. Its space-group type is I-42d.

3.
Material: TiCrN2
Method: DFT, GGA-PBEsol
State: relaxed

Lattice parameters (Å, degrees): 2.979 2.979 4.925 72.40 72.40 60.00
Atoms (fractional coordinates):
Cr 0.000 0.000 0.000
Ti 0.500 0.500 0.500
N 0.253 0.253 0.241
N 0.747 0.747 0.759

Properties
The total energy is -10.1560 eV/atom. The formation energy without anion corrections is -5.01 eV per formula unit. Its space-group type is R-3m.

4.
Material: Tl2CrN
Method: DFT, GGA-PBEsol
State: relaxed

Lattice parameters (Å, degrees): 4.689 4.689 4.689 60.00 60.00 60.00
Atoms (fractional coordinates):
Cr 0.500 0.500 0.500
Tl 0.250 0.250 0.250
Tl 0.750 0.750 0.750
N 0.000 0.000 0.000

Properties
The total energy is -4.6685 eV/atom. The formation energy without anion corrections is 5.36 eV per formula unit. Its space-group type is Fm-3m.

5.
Material: TlCrN2
Method: DFT, GGA-PBEsol
State: relaxed

Lattice parameters (Å, degrees): 3.435 3.435 6.348 74.30 74.30 60.00
Atoms (fractional coordinates):
Cr 0.000 0.000 0.000
Tl 0.500 0.500 0.500
N 0.903 0.903 0.292
N 0.097 0.097 0.708

Properties
The total energy is -6.5135 eV/atom. The formation energy without anion corrections is 3.87 eV per formula unit. Its space-group type is R-3m.

6.
Material: TlZnCr2N
Method: DFT, GGA-PBEsol
State: relaxed

Lattice parameters (Å, degrees): 4.185 5.234 5.234 90.00 90.00 90.00
Atoms (fractional coordinates):
Cr 0.000 0.000 0.500
Cr 0.000 0.500 0.000
Tl 0.000 0.000 0.000
Zn 0.500 0.500 0.500
N 0.500 0.000 0.000

Properties
The total energy is -4.6614 eV/atom. The formation energy without anion corrections is 9.92 eV per formula unit. Its space-group type is P4/mmm.

7.
Material: U2CrN3
Method: DFT, GGA-PBEsol
State: relaxed

Lattice parameters (Å, degrees): 3.237 3.675 6.536 106.33 104.34 90.00
Atoms (fractional coordinates):
U 0.645 0.645 0.290
U 0.355 0.355 0.710
Cr 0.000 0.000 0.000
N 0.832 0.832 0.663
N 0.168 0.168 0.337
N 0.000 0.500 0.000

Properties
The total energy is -11.3329 eV/atom. The formation energy without anion corrections is -7.86 eV per formula unit. Its space-group type is Immm.

8.
Material: VCrN2
Method: DFT, GGA-PBEsol
State: relaxed

Lattice parameters (Å, degrees): 2.927 2.927 4.856 72.46 72.46 60.00
Atoms (fractional coordinates):
V 0.500 0.500 0.500
Cr 0.000 0.000 0.000
N 0.252 0.252 0.245
N 0.748 0.748 0.755

Properties
The total energy is -10.1022 eV/atom. The formation energy without anion corrections is -3.48 eV per formula unit. Its space-group type is R-3m.